Entry from Alexandria via LeMat-Bulk: crystalline CdAgPt at its relaxed geometry (PBE).

abc: 4.6126 4.6126 2.8935
angles: 90.00 90.00 120.00
Space group P3m1 (No. 156)
Unique sites:
Cd  0.0000  0.0000  0.0000
Ag  0.3333  0.6667  0.6657
Pt  0.6667  0.3333  0.3281

## Properties
density	12.94	g/cm³
energy of formation	-0.11	eV/atom
energy relative to the lowest polymorph listed for this composition	0.047	eV/atom
VASP energy	-10.15	eV per cell


Entry from Alexandria via LeMat-Bulk: crystalline Cd2AgPt2 at its relaxed geometry (PBE).

abc: 7.885 7.885 3.027
angles: 90.00 90.00 90.00
Space group P4/mbm (No. 127)
Unique sites:
Cd  0.169  0.331  0.000
Ag  0.000  0.000  0.500
Pt  0.129  0.629  0.500

## Properties
density	12.76	g/cm³
energy of formation	-0.16	eV/atom
energy relative to the lowest polymorph listed for this composition	0.000	eV/atom
VASP energy	-35.16	eV per cell


Entry from Alexandria via LeMat-Bulk: crystalline CdAg2Pt2 at its relaxed geometry (PBE).

abc: 6.937 6.937 3.928
angles: 90.00 90.00 90.00
Space group P4/mbm (No. 127)
Unique sites:
Cd  0.000  0.000  0.000
Ag  0.165  0.335  0.500
Pt  0.134  0.634  0.000

## Properties
density	12.62	g/cm³
energy of formation	0.03	eV/atom
energy relative to the lowest polymorph listed for this composition	0.000	eV/atom
VASP energy	-37.13	eV per cell


Entry from Alexandria via LeMat-Bulk: crystalline Cd2AgPt at its relaxed geometry (PBE).

abc: 6.101 7.999 3.001
angles: 90.00 90.00 90.00
Space group Cmmm (No. 65)
Unique sites:
Cd  0.250  0.250  0.000
Ag  0.000  0.000  0.500
Pt  0.000  0.500  0.500

## Properties
density	11.97	g/cm³
energy of formation	-0.18	eV/atom
VASP energy	-22.87	eV per cell


Entry from Alexandria via LeMat-Bulk: crystalline Cd10Ag4Pt at its relaxed geometry (PBE).

abc: 10.612 10.612 6.324
angles: 90.00 90.00 90.00
Space group I4/m (No. 87)
Unique sites:
Cd  0.000  0.500  0.250
Cd  0.096  0.195  0.248
Ag  0.103  0.699  0.500
Pt  0.000  0.000  0.000

## Properties
density	8.16	g/cm³
energy of formation	-0.01	eV/atom
VASP energy	-53.48	eV per cell


Entry from Alexandria via LeMat-Bulk: crystalline CdAg4Pt at its relaxed geometry (PBE).

abc: 8.047 8.047 9.434
angles: 90.00 90.00 90.00
Space group I4_1md (No. 109)
Unique sites:
Cd  0.000  0.000  0.000
Ag  0.000  0.326  0.504
Ag  0.000  0.331  0.988
Pt  0.000  0.000  0.495

## Properties
density	8.03	g/cm³
energy of formation	0.55	eV/atom
energy relative to the lowest polymorph listed for this composition	0.538	eV/atom
VASP energy	-60.25	eV per cell


Entry from Alexandria via LeMat-Bulk: crystalline CdAg2Pt at its relaxed geometry (PBE).

abc: 6.580 6.580 6.580
angles: 90.00 90.00 90.00
Space group F-43m (No. 216)
Unique sites:
Cd  0.000  0.000  0.000
Ag  0.000  0.000  0.500
Ag  0.250  0.250  0.250
Pt  0.250  0.250  0.750

## Properties
density	12.20	g/cm³
energy of formation	-0.09	eV/atom
VASP energy	-52.03	eV per cell


Entry from Alexandria via LeMat-Bulk: crystalline CdAgPt2 at its relaxed geometry (PBE).

abc: 6.501 6.501 6.501
angles: 90.00 90.00 90.00
Space group F-43m (No. 216)
Unique sites:
Cd  0.000  0.000  0.000
Ag  0.250  0.250  0.250
Pt  0.000  0.000  0.500
Pt  0.250  0.250  0.750

## Properties
density	14.76	g/cm³
energy of formation	-0.08	eV/atom
VASP energy	-64.70	eV per cell


Entry from Alexandria via LeMat-Bulk: crystalline Cd6AgPt3 at its relaxed geometry (PBE).

abc: 7.485 6.881 10.460
angles: 90.00 131.25 90.00
Space group P2_1/c (No. 14)
Unique sites:
Cd  0.019  0.105  0.239
Cd  0.233  0.158  0.075
Cd  0.404  0.622  0.062
Ag  0.500  0.000  0.000
Pt  0.000  0.000  0.500
Pt  0.276  0.694  0.738

## Properties
density	11.21	g/cm³
energy of formation	-0.15	eV/atom
VASP energy	-55.84	eV per cell


Entry from Alexandria via LeMat-Bulk: crystalline Cd6Ag3Pt at its relaxed geometry (PBE).

abc: 8.038 4.834 10.742
angles: 90.00 110.77 90.00
Space group P2_1/m (No. 11)
Unique sites:
Cd  0.002  0.250  0.161
Cd  0.007  0.750  0.335
Cd  0.217  0.750  0.142
Cd  0.229  0.250  0.482
Cd  0.397  0.750  0.928
Cd  0.433  0.250  0.292
Ag  0.180  0.750  0.630
Ag  0.205  0.250  0.974
Ag  0.390  0.250  0.770
Pt  0.390  0.750  0.425

## Properties
density	10.15	g/cm³
energy of formation	-0.09	eV/atom
VASP energy	-42.05	eV per cell


Entry from Alexandria via LeMat-Bulk: crystalline Cd2AgPt at its relaxed geometry (PBE).

abc: 2.969 4.273 5.843
angles: 90.00 90.00 90.00
Space group Pmm2 (No. 25)
Unique sites:
Cd  0.000  0.000  0.000
Cd  0.500  0.500  0.291
Ag  0.500  0.500  0.771
Pt  0.000  0.000  0.505

## Properties
density	11.82	g/cm³
energy of formation	-0.13	eV/atom
VASP energy	-11.23	eV per cell


Entry from Alexandria via LeMat-Bulk: crystalline Cd12Ag5Pt3 at its relaxed geometry (PBE).

abc: 16.077 16.077 16.077
angles: 90.00 90.00 90.00
Space group Ia-3d (No. 230)
Unique sites:
Cd  0.011  0.079  0.652
Ag  0.000  0.000  0.000
Ag  0.000  0.250  0.375
Pt  0.000  0.250  0.125

## Properties
density	7.91	g/cm³
energy of formation	0.17	eV/atom
VASP energy	-319.38	eV per cell